# 1
Material: YTlMo2
Method: DFT, PBE-GGA
State: optimized geometry

Unit cell a=3.556 b=4.940 c=9.522 alpha=90.00 beta=90.00 gamma=90.00
Element x y z (fractional)
1 Y 0.000 0.000 0.000
2 Y 0.500 0.500 0.500
3 Tl 0.000 0.500 0.218
4 Tl 0.500 0.000 0.718
5 Mo 0.000 0.000 0.449
6 Mo 0.000 0.500 0.763
7 Mo 0.500 0.000 0.263
8 Mo 0.500 0.500 0.949

Values from the calculation:
DFT total energy	-7.298	eV per atom
M_tot	0.0	μB per cell
DOS(E_F)	3.05	states/eV/f.u.
energy relative to the elements	325	meV/atom

***

# 2
Material: SrZnCd3Ag
Method: DFT, PBE-GGA
State: optimized geometry

Unit cell a=7.622 b=7.622 c=6.386 alpha=90.00 beta=90.00 gamma=124.75
Element x y z (fractional)
1 Sr 0.213 0.787 0.750
2 Sr 0.787 0.213 0.250
3 Zn 0.144 0.856 0.250
4 Zn 0.856 0.144 0.750
5 Cd 0.201 0.201 0.000
6 Cd 0.201 0.201 0.500
7 Cd 0.349 0.651 0.250
8 Cd 0.651 0.349 0.750
9 Cd 0.799 0.799 0.000
10 Cd 0.799 0.799 0.500
11 Ag 0.436 0.564 0.750
12 Ag 0.564 0.436 0.250

Values from the calculation:
DFT total energy	-1.509	eV per atom
M_tot	0.0	μB per cell
DOS(E_F)	2.96	states/eV/f.u.
energy relative to the elements	-84	meV/atom

***

# 3
Material: Rb3Pm3MoS8
Method: DFT, PBE-GGA
State: optimized geometry

Unit cell a=9.133 b=9.133 c=9.133 alpha=52.46 beta=52.46 gamma=52.46
Element x y z (fractional)
1 Rb 0.000 0.500 0.500
2 Rb 0.500 0.000 0.500
3 Rb 0.500 0.500 0.000
4 Pm 0.000 0.000 0.500
5 Pm 0.000 0.500 0.000
6 Pm 0.500 0.000 0.000
7 Mo 0.500 0.500 0.500
8 S 0.233 0.233 0.233
9 S 0.260 0.711 0.711
10 S 0.289 0.289 0.740
11 S 0.289 0.740 0.289
12 S 0.711 0.260 0.711
13 S 0.711 0.711 0.260
14 S 0.740 0.289 0.289
15 S 0.767 0.767 0.767

Values from the calculation:
DFT total energy	-5.565	eV per atom
M_tot	2.0	μB per cell
energy relative to the elements, uncorrected	-1.498	eV per atom
DOS(E_F)	6.55	states/eV/f.u.

***

# 4
Material: Zn2SiIr
Method: DFT, PBE-GGA
State: optimized geometry

Unit cell a=2.889 b=3.923 c=10.122 alpha=90.00 beta=98.11 gamma=90.00
Element x y z (fractional)
1 Zn 0.044 0.250 0.089
2 Zn 0.421 0.250 0.842
3 Zn 0.579 0.750 0.158
4 Zn 0.956 0.750 0.911
5 Si 0.209 0.750 0.416
6 Si 0.791 0.250 0.584
7 Ir 0.330 0.750 0.659
8 Ir 0.670 0.250 0.341

Values from the calculation:
DFT total energy	-4.487	eV per atom
M_tot	0.0	μB per cell
energy relative to the elements, uncorrected	-0.279	eV per atom
DOS(E_F)	0.81	states/eV/f.u.

***

# 5
Material: KPb2Se2
Method: DFT, PBE-GGA
State: optimized geometry

Unit cell a=4.671 b=4.671 c=14.891 alpha=90.00 beta=90.00 gamma=90.00
Element x y z (fractional)
1 K 0.000 0.000 0.000
2 K 0.500 0.500 0.500
3 Pb 0.000 0.500 0.250
4 Pb 0.000 0.500 0.750
5 Pb 0.500 0.000 0.250
6 Pb 0.500 0.000 0.750
7 Se 0.000 0.000 0.400
8 Se 0.000 0.000 0.600
9 Se 0.500 0.500 0.100
10 Se 0.500 0.500 0.900

Values from the calculation:
DFT total energy	-3.530	eV per atom
M_tot	0.0	μB per cell
energy relative to the elements, uncorrected	-0.433	eV per atom
DOS(E_F)	1.98	states/eV/f.u.

***

# 6
Material: LiSc2Re
Method: DFT, PBE-GGA
State: optimized geometry

Unit cell a=3.402 b=4.922 c=9.618 alpha=90.00 beta=90.00 gamma=90.00
Element x y z (fractional)
1 Li 0.000 0.000 0.000
2 Li 0.500 0.500 0.000
3 Sc 0.000 0.500 0.286
4 Sc 0.000 0.500 0.714
5 Sc 0.500 0.000 0.286
6 Sc 0.500 0.000 0.714
7 Re 0.000 0.000 0.500
8 Re 0.500 0.500 0.500

Values from the calculation:
DFT total energy	-6.683	eV per atom
M_tot	0.0	μB per cell
DOS(E_F)	3.59	states/eV/f.u.
energy relative to the elements	74	meV/atom

***

# 7
Material: Sm3PuBi4
Method: DFT, PBE-GGA
State: optimized geometry

Unit cell a=9.111 b=12.875 c=4.557 alpha=90.00 beta=90.00 gamma=90.00
Element x y z (fractional)
1 Sm 0.000 0.000 0.000
2 Sm 0.250 0.250 0.500
3 Sm 0.250 0.750 0.500
4 Sm 0.500 0.500 0.000
5 Sm 0.750 0.250 0.500
6 Sm 0.750 0.750 0.500
7 Pu 0.000 0.500 0.000
8 Pu 0.500 0.000 0.000
9 Bi 0.000 0.251 0.000
10 Bi 0.000 0.749 0.000
11 Bi 0.248 0.500 0.500
12 Bi 0.252 0.000 0.500
13 Bi 0.500 0.249 0.000
14 Bi 0.500 0.751 0.000
15 Bi 0.748 0.000 0.500
16 Bi 0.752 0.500 0.500

Values from the calculation:
DFT total energy	-6.272	eV per atom
M_tot	10.3	μB per cell
DOS(E_F)	17.47	states/eV/f.u.
energy relative to the elements	-771	meV/atom

***

# 8
Material: Tb2PuI
Method: DFT, PBE-GGA
State: optimized geometry

Unit cell a=3.700 b=3.700 c=31.221 alpha=90.00 beta=90.00 gamma=120.00
Element x y z (fractional)
1 Tb 0.000 0.000 0.247
2 Tb 0.000 0.000 0.753
3 Tb 0.333 0.667 0.420
4 Tb 0.333 0.667 0.913
5 Tb 0.667 0.333 0.087
6 Tb 0.667 0.333 0.580
7 Pu 0.000 0.000 0.000
8 Pu 0.333 0.667 0.667
9 Pu 0.667 0.333 0.333
10 I 0.000 0.000 0.500
11 I 0.333 0.667 0.167
12 I 0.667 0.333 0.833

Values from the calculation:
DFT total energy	-6.551	eV per atom
M_tot	18.5	μB per cell
energy relative to the elements, uncorrected	-0.265	eV per atom
DOS(E_F)	8.10	states/eV/f.u.

***

# 9
Material: PrSmSi
Method: DFT, PBE-GGA
State: optimized geometry

Unit cell a=11.319 b=4.276 c=8.420 alpha=90.00 beta=125.15 gamma=90.00
Element x y z (fractional)
1 Pr 0.172 0.000 0.071
2 Pr 0.328 0.500 0.929
3 Pr 0.672 0.500 0.071
4 Pr 0.828 0.000 0.929
5 Sm 0.086 0.500 0.363
6 Sm 0.414 0.000 0.637
7 Sm 0.586 0.000 0.363
8 Sm 0.914 0.500 0.637
9 Si 0.121 0.000 0.649
10 Si 0.379 0.500 0.351
11 Si 0.621 0.500 0.649
12 Si 0.879 0.000 0.351

Values from the calculation:
DFT total energy	-5.451	eV per atom
M_tot	0.0	μB per cell
energy relative to the elements, uncorrected	-0.477	eV per atom
DOS(E_F)	3.60	states/eV/f.u.

***

# 10
Material: Pm4Ag5Rh2
Method: DFT, PBE-GGA
State: optimized geometry

Unit cell a=7.498 b=3.803 c=9.112 alpha=90.00 beta=94.71 gamma=90.00
Element x y z (fractional)
1 Pm 0.189 0.000 0.358
2 Pm 0.228 0.000 0.935
3 Pm 0.772 0.000 0.065
4 Pm 0.811 0.000 0.642
5 Ag 0.180 0.500 0.643
6 Ag 0.460 0.500 0.177
7 Ag 0.500 0.500 0.500
8 Ag 0.540 0.500 0.823
9 Ag 0.820 0.500 0.357
10 Rh 0.074 0.500 0.147
11 Rh 0.926 0.500 0.853

Values from the calculation:
DFT total energy	-4.765	eV per atom
M_tot	0.0	μB per cell
DOS(E_F)	4.49	states/eV/f.u.
energy relative to the elements	-405	meV/atom

***

# 11
Material: Mg2ZrHgGe
Method: DFT, PBE-GGA
State: optimized geometry

Unit cell a=5.937 b=5.937 c=5.052 alpha=90.00 beta=90.00 gamma=90.00
Element x y z (fractional)
1 Mg 0.000 0.500 0.000
2 Mg 0.500 0.000 0.000
3 Zr 0.000 0.000 0.000
4 Hg 0.500 0.500 0.500
5 Ge 0.000 0.000 0.500

Values from the calculation:
DFT total energy	-2.605	eV per atom
M_tot	0.5	μB per cell
DOS(E_F)	3.60	states/eV/f.u.
energy relative to the elements	726	meV/atom

***

# 12
Material: NbGe3Pd2
Method: DFT, PBE-GGA
State: optimized geometry

Unit cell a=3.664 b=9.571 c=5.739 alpha=90.00 beta=90.00 gamma=90.00
Element x y z (fractional)
1 Nb 0.000 0.106 0.000
2 Nb 0.000 0.894 0.500
3 Ge 0.000 0.383 0.833
4 Ge 0.000 0.617 0.333
5 Ge 0.500 0.061 0.678
6 Ge 0.500 0.281 0.193
7 Ge 0.500 0.719 0.693
8 Ge 0.500 0.939 0.178
9 Pd 0.000 0.213 0.496
10 Pd 0.000 0.787 0.996
11 Pd 0.500 0.461 0.516
12 Pd 0.500 0.539 0.016

Values from the calculation:
DFT total energy	-6.145	eV per atom
M_tot	0.0	μB per cell
DOS(E_F)	2.17	states/eV/f.u.
energy relative to the elements	-427	meV/atom

***

# 13
Material: FeCu2Mo
Method: DFT, PBE-GGA
State: optimized geometry

Unit cell a=5.863 b=5.863 c=5.863 alpha=90.00 beta=90.00 gamma=90.00
Element x y z (fractional)
1 Fe 0.000 0.000 0.000
2 Fe 0.000 0.500 0.500
3 Fe 0.500 0.000 0.500
4 Fe 0.500 0.500 0.000
5 Cu 0.250 0.250 0.250
6 Cu 0.250 0.250 0.750
7 Cu 0.250 0.750 0.250
8 Cu 0.250 0.750 0.750
9 Cu 0.750 0.250 0.250
10 Cu 0.750 0.250 0.750
11 Cu 0.750 0.750 0.250
12 Cu 0.750 0.750 0.750
13 Mo 0.000 0.000 0.500
14 Mo 0.000 0.500 0.000
15 Mo 0.500 0.000 0.000
16 Mo 0.500 0.500 0.500

Values from the calculation:
DFT total energy	-6.366	eV per atom
M_tot	0.0	μB per cell
DOS(E_F)	9.07	states/eV/f.u.
energy relative to the elements	506	meV/atom

***

# 14
Material: Rb2MgGa2
Method: DFT, PBE-GGA
State: optimized geometry

Unit cell a=3.878 b=3.878 c=25.200 alpha=90.00 beta=90.00 gamma=90.00
Element x y z (fractional)
1 Rb 0.000 0.000 0.119
2 Rb 0.000 0.000 0.881
3 Rb 0.500 0.500 0.381
4 Rb 0.500 0.500 0.619
5 Mg 0.000 0.000 0.500
6 Mg 0.500 0.500 0.000
7 Ga 0.000 0.500 0.250
8 Ga 0.000 0.500 0.750
9 Ga 0.500 0.000 0.250
10 Ga 0.500 0.000 0.750

Values from the calculation:
DFT total energy	-1.750	eV per atom
M_tot	0.0	μB per cell
DOS(E_F)	3.02	states/eV/f.u.
energy relative to the elements	167	meV/atom

***

# 15
Material: YMn2Os2
Method: DFT, PBE-GGA
State: optimized geometry

Unit cell a=7.507 b=7.507 c=2.715 alpha=90.00 beta=90.00 gamma=90.00
Element x y z (fractional)
1 Y 0.000 0.000 0.000
2 Y 0.500 0.500 0.000
3 Mn 0.165 0.335 0.500
4 Mn 0.335 0.835 0.500
5 Mn 0.665 0.165 0.500
6 Mn 0.835 0.665 0.500
7 Os 0.125 0.625 0.000
8 Os 0.375 0.125 0.000
9 Os 0.625 0.875 0.000
10 Os 0.875 0.375 0.000

Values from the calculation:
DFT total energy	-9.256	eV per atom
M_tot	3.7	μB per cell
DOS(E_F)	5.38	states/eV/f.u.
energy relative to the elements	197	meV/atom

***

# 16
Material: Ba2CaPt
Method: DFT, PBE-GGA
State: optimized geometry

Unit cell a=8.262 b=8.262 c=8.262 alpha=90.00 beta=90.00 gamma=90.00
Element x y z (fractional)
1 Ba 0.250 0.250 0.250
2 Ba 0.250 0.250 0.750
3 Ba 0.250 0.750 0.250
4 Ba 0.250 0.750 0.750
5 Ba 0.750 0.250 0.250
6 Ba 0.750 0.250 0.750
7 Ba 0.750 0.750 0.250
8 Ba 0.750 0.750 0.750
9 Ca 0.000 0.000 0.000
10 Ca 0.000 0.500 0.500
11 Ca 0.500 0.000 0.500
12 Ca 0.500 0.500 0.000
13 Pt 0.000 0.000 0.500
14 Pt 0.000 0.500 0.000
15 Pt 0.500 0.000 0.000
16 Pt 0.500 0.500 0.500

Values from the calculation:
DFT total energy	-3.012	eV per atom
M_tot	0.0	μB per cell
DOS(E_F)	6.33	states/eV/f.u.
energy relative to the elements	-40	meV/atom

***

# 17
Material: PmGa12Co6
Method: DFT, PBE-GGA
State: optimized geometry

Unit cell a=6.932 b=6.932 c=6.932 alpha=104.95 beta=104.95 gamma=104.95
Element x y z (fractional)
1 Pm 0.000 0.000 0.000
2 Ga 0.118 0.500 0.882
3 Ga 0.118 0.882 0.500
4 Ga 0.148 0.416 0.416
5 Ga 0.416 0.148 0.416
6 Ga 0.416 0.416 0.148
7 Ga 0.500 0.118 0.882
8 Ga 0.500 0.882 0.118
9 Ga 0.584 0.584 0.852
10 Ga 0.584 0.852 0.584
11 Ga 0.852 0.584 0.584
12 Ga 0.882 0.118 0.500
13 Ga 0.882 0.500 0.118
14 Co 0.272 0.272 0.690
15 Co 0.272 0.690 0.272
16 Co 0.310 0.728 0.728
17 Co 0.690 0.272 0.272
18 Co 0.728 0.310 0.728
19 Co 0.728 0.728 0.310

Values from the calculation:
DFT total energy	-4.654	eV per atom
M_tot	0.0	μB per cell
DOS(E_F)	9.25	states/eV/f.u.
energy relative to the elements	-248	meV/atom

***

# 18
Material: Ba4Li3Tl
Method: DFT, PBE-GGA
State: optimized geometry

Unit cell a=4.778 b=5.462 c=13.253 alpha=90.00 beta=90.00 gamma=90.00
Element x y z (fractional)
1 Ba 0.000 0.000 0.000
2 Ba 0.000 0.500 0.279
3 Ba 0.500 0.000 0.485
4 Ba 0.500 0.500 0.784
5 Li 0.000 0.000 0.699
6 Li 0.000 0.500 0.575
7 Li 0.500 0.500 0.082
8 Tl 0.500 0.000 0.202

Values from the calculation:
DFT total energy	-2.056	eV per atom
M_tot	0.0	μB per cell
DOS(E_F)	6.98	states/eV/f.u.
energy relative to the elements	-81	meV/atom

***

# 19
Material: DyTlRh2
Method: DFT, PBE-GGA
State: optimized geometry

Unit cell a=6.689 b=6.689 c=6.689 alpha=90.00 beta=90.00 gamma=90.00
Element x y z (fractional)
1 Dy 0.000 0.000 0.000
2 Dy 0.000 0.500 0.500
3 Dy 0.500 0.000 0.500
4 Dy 0.500 0.500 0.000
5 Tl 0.000 0.000 0.500
6 Tl 0.000 0.500 0.000
7 Tl 0.500 0.000 0.000
8 Tl 0.500 0.500 0.500
9 Rh 0.250 0.250 0.250
10 Rh 0.250 0.250 0.750
11 Rh 0.250 0.750 0.250
12 Rh 0.250 0.750 0.750
13 Rh 0.750 0.250 0.250
14 Rh 0.750 0.250 0.750
15 Rh 0.750 0.750 0.250
16 Rh 0.750 0.750 0.750

Values from the calculation:
DFT total energy	-5.969	eV per atom
M_tot	0.0	μB per cell
DOS(E_F)	1.02	states/eV/f.u.
energy relative to the elements	-551	meV/atom

***

# 20
Material: Ag2AuCl
Method: DFT, PBE-GGA
State: optimized geometry

Unit cell a=5.636 b=3.223 c=8.631 alpha=90.00 beta=102.20 gamma=90.00
Element x y z (fractional)
1 Ag 0.248 0.000 0.243
2 Ag 0.252 0.500 0.757
3 Ag 0.748 0.500 0.243
4 Ag 0.752 0.000 0.757
5 Au 0.000 0.000 0.500
6 Au 0.500 0.500 0.500
7 Cl 0.000 0.500 0.000
8 Cl 0.500 0.000 0.000

Values from the calculation:
DFT total energy	-2.777	eV per atom
M_tot	0.0	μB per cell
energy relative to the elements, uncorrected	-0.071	eV per atom
DOS(E_F)	0.85	states/eV/f.u.